The following is a PBE-GGA calculation of an optimized crystal structure of Pu3Ta, from Alexandria.

Results
DFT formation energy, meV per atom: 321
Offset from the most stable computed form, meV/atom: 51

Cell and atoms, written as extended XYZ:
```
4
Lattice="-2.692 0.701 4.281 1.641 -1.986 1.358 3.753 4.239 1.666" Properties=species:S:1:pos:R:3 pbc="T T T"
Ta 3.616 4.084 1.605
Pu 0.225 0.206 3.153
Pu 2.554 0.965 1.448
Pu 1.310 3.351 3.320
```

---

The following is a PBE-GGA calculation of an optimized crystal structure of PuTa3, from Alexandria.

Results
DFT formation energy, meV per atom: 221

Cell and atoms, written as extended XYZ:
```
4
Lattice="4.774 0.000 0.000 0.000 4.774 0.000 -2.387 -2.387 3.377" Properties=species:S:1:pos:R:3 pbc="T T T"
Pu 0.000 0.000 0.000
Ta 0.000 2.387 1.689
Ta 2.387 2.387 0.000
Ta 2.387 0.000 1.689
```

---

The following is a PBE-GGA calculation of an optimized crystal structure of Pu2Ta, from Alexandria.

Results
DFT formation energy, meV per atom: 410

Cell and atoms, written as extended XYZ:
```
3
Lattice="3.770 0.001 0.002 0.001 3.770 0.002 -1.884 -1.884 4.621" Properties=species:S:1:pos:R:3 pbc="T T T"
Ta 1.886 1.886 0.002
Pu 0.001 0.001 1.522
Pu 1.886 1.886 3.103
```

---

The following is a PBE-GGA calculation of an optimized crystal structure of Pu3Ta, from Alexandria.

Results
DFT formation energy, meV per atom: 269
Offset from the most stable computed form, meV/atom: 0

Cell and atoms, written as extended XYZ:
```
4
Lattice="-2.400 -0.328 -4.639 3.147 -3.154 -2.745 -2.049 -0.843 4.741" Properties=species:S:1:pos:R:3 pbc="T T T"
Pu 0.374 -1.741 -3.692
Pu 0.736 -2.869 -0.848
Ta 0.000 0.000 0.000
Pu -2.037 -1.456 -1.795
```

---

The following is a PBE-GGA calculation of an optimized crystal structure of TbPuTa, from Alexandria.

Results
DFT formation energy, meV per atom: 336

Cell and atoms, written as extended XYZ:
```
6
Lattice="-0.586 0.798 -3.161 -2.882 -0.824 -1.409 -7.285 13.611 3.051" Properties=species:S:1:pos:R:3 pbc="T T T"
Ta -3.820 5.912 0.465
Pu -5.562 9.782 1.765
Ta -6.933 7.673 -1.984
Pu -5.191 3.803 -3.284
Tb -2.894 1.275 -2.612
Tb -7.859 12.309 1.094
```

---

The following is a PBE-GGA calculation of an optimized crystal structure of PuTa2Tc, from Alexandria.

Results
DFT formation energy, meV per atom: -11

Cell and atoms, written as extended XYZ:
```
4
Lattice="3.165 0.000 0.000 0.000 3.165 0.000 0.000 0.000 7.453" Properties=species:S:1:pos:R:3 pbc="T T T"
Ta 0.000 0.000 1.594
Pu 1.583 1.583 3.727
Tc 1.583 1.583 0.000
Ta 0.000 0.000 5.859
```

---

The following is a PBE-GGA calculation of an optimized crystal structure of PuTaTc, from Alexandria.

Results
DFT formation energy, meV per atom: 325

Cell and atoms, written as extended XYZ:
```
6
Lattice="-3.472 4.376 -2.504 -4.625 0.189 -0.738 -2.458 4.553 3.883" Properties=species:S:1:pos:R:3 pbc="T T T"
Pu -4.549 3.631 -2.312
Ta -6.146 5.653 -0.305
Tc -1.929 2.821 0.123
Pu -3.548 0.934 -0.929
Tc -4.001 6.107 1.257
Ta -4.410 3.465 0.947
```

---

The following is a PBE-GGA calculation of an optimized crystal structure of PuTaTc2, from Alexandria.

Results
DFT formation energy, meV per atom: -127

Cell and atoms, written as extended XYZ:
```
4
Lattice="-1.619 -0.133 2.792 0.090 -3.227 -0.102 5.823 0.055 3.380" Properties=species:S:1:pos:R:3 pbc="T T T"
Tc 1.356 0.013 0.787
Tc 4.467 0.042 2.593
Pu 2.147 -1.653 3.035
Ta -0.765 -1.680 1.345
```

---

The following is a PBE-GGA calculation of an optimized crystal structure of PuTaTe3, from Alexandria.

Results
Formation energy (no corrections), meV/atom: -650.3

Cell and atoms, written as extended XYZ:
```
10
Lattice="3.907 0.000 0.000 -1.954 7.791 0.102 0.000 -0.188 8.974" Properties=species:S:1:pos:R:3 pbc="T T T"
Te -0.065 1.375 3.550
Te 1.888 4.400 3.417
Te -0.065 4.512 0.485
Ta 1.888 4.969 7.441
Pu -0.065 6.795 2.838
Te 1.888 7.537 0.352
Te 1.888 2.249 6.784
Pu 1.889 2.117 1.063
Te -0.065 6.474 6.092
Ta -0.065 3.755 5.435
```

---

The following is a PBE-GGA calculation of an optimized crystal structure of Pu3TaTl3Te8, from Alexandria.

Results
Formation energy (no corrections), meV/atom: -647.3

Cell and atoms, written as extended XYZ:
```
15
Lattice="8.669 0.001 0.001 -4.334 7.508 -0.035 0.000 -4.968 8.348" Properties=species:S:1:pos:R:3 pbc="T T T"
Te 6.676 -1.340 2.466
Ta 0.000 -2.484 4.174
Te 4.335 2.715 2.447
Te 4.335 0.027 5.981
Tl 2.168 3.754 -0.017
Pu -2.167 1.270 4.157
Te -2.340 3.881 5.848
Pu 2.168 1.270 4.157
Te 2.342 3.881 5.848
Te 0.000 -0.174 5.867
Tl 0.000 0.000 0.000
Te 0.000 2.513 2.333
Te 1.993 -1.340 2.466
Tl -2.167 3.754 -0.017
Pu 4.335 -2.484 4.174
```

---

The following is a PBE-GGA calculation of an optimized crystal structure of PuThTa, from Alexandria.

Results
DFT formation energy, meV per atom: 409

Cell and atoms, written as extended XYZ:
```
6
Lattice="5.212 0.000 0.000 0.000 3.235 0.000 -2.606 0.000 8.084" Properties=species:S:1:pos:R:3 pbc="T T T"
Th 2.606 0.809 6.410
Pu 0.000 2.426 7.245
Ta 0.000 0.809 4.445
Pu 2.606 0.809 0.838
Ta 2.606 2.426 3.639
Th 0.000 2.426 1.674
```

---

The following is a PBE-GGA calculation of an optimized crystal structure of Pu2TaTi, from Alexandria.

Results
DFT formation energy, meV per atom: 377
Offset from the most stable computed form, meV/atom: 40

Cell and atoms, written as extended XYZ:
```
4
Lattice="3.619 0.000 0.000 0.000 3.619 0.000 0.000 0.000 6.384" Properties=species:S:1:pos:R:3 pbc="T T T"
Ti 1.809 1.809 3.192
Ta 1.809 1.809 0.000
Pu 0.000 0.000 1.610
Pu 0.000 0.000 4.774
```

---

Number 1: Fermi-level density of states 3.771 states/eV/atom, size of the total moment 1.230 μB/atom, calculated volume 21.9 Å³ per atom. Number 2: Fermi-level density of states 1.999 states/eV/atom, size of the total moment 1.040 μB/atom, calculated volume 19.2 Å³ per atom. Number 3: Fermi-level density of states 3.297 states/eV/atom, size of the total moment 3.168 μB/atom, calculated volume 21.9 Å³ per atom. Number 4: Fermi-level density of states 2.836 states/eV/atom, size of the total moment 1.325 μB/atom, calculated volume 21.7 Å³ per atom. Number 5: Fermi-level density of states 2.534 states/eV/atom, size of the total moment 1.688 μB/atom, calculated volume 24.7 Å³ per atom. Number 6: Fermi-level density of states 1.176 states/eV/atom, size of the total moment 1.234 μB/atom, calculated volume 18.7 Å³ per atom. Number 7: Fermi-level density of states 2.387 states/eV/atom, size of the total moment 1.672 μB/atom, calculated volume 20.6 Å³ per atom. Number 8: Fermi-level density of states 1.483 states/eV/atom, size of the total moment 1.021 μB/atom, calculated volume 17.6 Å³ per atom. Number 9: Fermi-level density of states 2.351 states/eV/atom, size of the total moment 1.030 μB/atom, calculated volume 27.3 Å³ per atom. Number 10: Fermi-level density of states 2.596 states/eV/atom, size of the total moment 1.067 μB/atom, calculated volume 36.1 Å³ per atom. Number 11: Fermi-level density of states 1.901 states/eV/atom, size of the total moment 0.000 μB/atom, calculated volume 22.7 Å³ per atom. Number 12: Fermi-level density of states 2.642 states/eV/atom, size of the total moment 2.734 μB/atom, calculated volume 20.9 Å³ per atom.